First-principles (GGA-PBE) data for Th2CuNi3 after structural relaxation, as listed in Alexandria via LeMat-Bulk.

The structure belongs to space group Fmmm (No. 69); the cell edges are 7.448, 8.709 and 13.846 Å and the angles 90.00°, 90.00° and 90.00°. The inequivalent atoms are Th at (0.245, 0.000, 0.000), Th at (0.250, 0.250, 0.250), Cu at (0.000, 0.000, 0.333), Ni at (0.000, 0.000, 0.158) and Ni at (0.000, 0.248, 0.413).

For the calculated total energy, the calculation gives -6.42 eV/atom. The total magnetic moment is 0.0 Bohr magnetons per cell. As for the theoretical density: 10.41 g cm⁻³. Its formation energy is -0.375 eV/atom.